Model one:
ZrPd4Pt: relaxed, GGA-PBE.

Summary:
density of states at the Fermi level: 6.57 states/eV per cell

abc: 4.920 8.575 4.880
angles: 90.00 109.33 90.00
Sites, in units of the cell vectors:
Zr 0.000 0.000 0.000
Zr 0.500 0.500 0.000
Pd 0.000 0.169 0.500
Pd 0.000 0.335 0.000
Pd 0.000 0.665 0.000
Pd 0.000 0.831 0.500
Pd 0.500 0.165 0.000
Pd 0.500 0.331 0.500
Pd 0.500 0.669 0.500
Pd 0.500 0.835 0.000
Pt 0.000 0.500 0.500
Pt 0.500 0.000 0.500


Model two:
ZrPd4Pt: relaxed, GGA-PBE.

Summary:
density of states at the Fermi level: 12.69 states/eV per cell

abc: 12.980 12.980 4.132
angles: 90.00 90.00 162.27
Sites, in units of the cell vectors:
Zr 0.171 0.829 0.750
Zr 0.829 0.171 0.250
Pd 0.096 0.904 0.250
Pd 0.250 0.750 0.250
Pd 0.328 0.672 0.750
Pd 0.472 0.528 0.750
Pd 0.528 0.472 0.250
Pd 0.672 0.328 0.250
Pd 0.750 0.250 0.750
Pd 0.904 0.096 0.750
Pt 0.404 0.596 0.250
Pt 0.596 0.404 0.750


Which is the most stable structure? model one is the most stable.


Model one:
Zr2Pd8Pt: relaxed, GGA-PBE.

Summary:
density of states at the Fermi level: 5.34 states/eV per cell

abc: 5.678 5.678 6.938
angles: 94.98 94.98 58.93
Sites, in units of the cell vectors:
Zr 0.156 0.156 0.349
Zr 0.844 0.844 0.651
Pd 0.149 0.657 0.314
Pd 0.272 0.272 0.002
Pd 0.343 0.851 0.686
Pd 0.354 0.354 0.649
Pd 0.646 0.646 0.351
Pd 0.657 0.149 0.314
Pd 0.728 0.728 0.998
Pd 0.851 0.343 0.686
Pt 0.000 0.000 0.000


Model two:
Zr2Pd8Pt: relaxed, GGA-PBE.

Summary:
density of states at the Fermi level: 7.40 states/eV per cell

abc: 7.374 7.374 5.201
angles: 97.86 97.86 42.10
Sites, in units of the cell vectors:
Zr 0.181 0.181 0.337
Zr 0.819 0.819 0.663
Pd 0.169 0.661 0.088
Pd 0.252 0.252 0.846
Pd 0.339 0.831 0.912
Pd 0.403 0.403 0.572
Pd 0.597 0.597 0.428
Pd 0.661 0.169 0.088
Pd 0.748 0.748 0.154
Pd 0.831 0.339 0.912
Pt 0.000 0.000 0.500


Which is the most stable structure? model one is the most stable.


Model one:
ZrPd2Pt5: relaxed, GGA-PBE.

Summary:
density of states at the Fermi level: 15.18 states/eV per cell

abc: 7.381 7.381 7.381
angles: 123.46 123.46 84.10
Sites, in units of the cell vectors:
Zr 0.250 0.250 0.000
Zr 0.750 0.750 0.000
Pd 0.149 0.649 0.797
Pd 0.351 0.149 0.500
Pd 0.649 0.851 0.500
Pd 0.851 0.351 0.203
Pt 0.000 0.000 0.000
Pt 0.020 0.814 0.500
Pt 0.186 0.686 0.206
Pt 0.314 0.520 0.500
Pt 0.480 0.980 0.794
Pt 0.500 0.500 0.000
Pt 0.520 0.020 0.206
Pt 0.686 0.480 0.500
Pt 0.814 0.314 0.794
Pt 0.980 0.186 0.500


Model two:
ZrPd2Pt5: relaxed, GGA-PBE.

Summary:
density of states at the Fermi level: 8.29 states/eV per cell

abc: 6.961 6.361 4.897
angles: 75.12 62.04 42.84
Sites, in units of the cell vectors:
Zr 0.000 0.000 0.000
Pd 0.252 0.252 0.748
Pd 0.748 0.748 0.252
Pt 0.126 0.126 0.374
Pt 0.374 0.374 0.126
Pt 0.500 0.500 0.500
Pt 0.626 0.626 0.874
Pt 0.874 0.874 0.626


Which is the most stable structure? model two is the most stable.


Model one:
ZrPdPt4: relaxed, GGA-PBE.

Summary:
density of states at the Fermi level: 8.18 states/eV per cell

abc: 4.943 8.628 4.905
angles: 90.00 110.08 90.00
Sites, in units of the cell vectors:
Zr 0.000 0.000 0.000
Zr 0.500 0.500 0.000
Pd 0.000 0.500 0.500
Pd 0.500 0.000 0.500
Pt 0.000 0.168 0.500
Pt 0.000 0.335 0.000
Pt 0.000 0.665 0.000
Pt 0.000 0.832 0.500
Pt 0.500 0.165 0.000
Pt 0.500 0.332 0.500
Pt 0.500 0.668 0.500
Pt 0.500 0.835 0.000


Model two:
ZrPdPt4: relaxed, GGA-PBE.

Summary:
density of states at the Fermi level: 6.31 states/eV per cell

abc: 5.256 5.256 5.256
angles: 60.00 60.00 60.00
Sites, in units of the cell vectors:
Zr 0.000 0.000 0.000
Pd 0.750 0.750 0.750
Pt 0.375 0.375 0.375
Pt 0.375 0.375 0.874
Pt 0.375 0.874 0.375
Pt 0.874 0.375 0.375


Model three:
ZrPdPt4: relaxed, GGA-PBE.

Summary:
density of states at the Fermi level: 9.98 states/eV per cell

abc: 6.346 6.346 8.122
angles: 90.00 90.00 143.31
Sites, in units of the cell vectors:
Zr 0.166 0.834 0.750
Zr 0.834 0.166 0.250
Pd 0.170 0.830 0.250
Pd 0.830 0.170 0.750
Pt 0.000 0.000 0.000
Pt 0.000 0.000 0.500
Pt 0.334 0.666 0.001
Pt 0.334 0.666 0.499
Pt 0.497 0.503 0.750
Pt 0.503 0.497 0.250
Pt 0.666 0.334 0.501
Pt 0.666 0.334 0.999


Which is the most stable structure? model three is the most stable.


Model one:
PuPdRh: relaxed, GGA-PBE.

Summary:
density of states at the Fermi level: 39.06 states/eV per cell

abc: 4.830 8.105 5.689
angles: 90.00 90.00 90.00
Sites, in units of the cell vectors:
Pu 0.000 0.163 0.250
Pu 0.000 0.837 0.750
Pu 0.500 0.337 0.750
Pu 0.500 0.663 0.250
Pd 0.000 0.500 0.000
Pd 0.000 0.500 0.500
Pd 0.500 0.000 0.000
Pd 0.500 0.000 0.500
Rh 0.000 0.176 0.750
Rh 0.000 0.824 0.250
Rh 0.500 0.324 0.250
Rh 0.500 0.676 0.750


Model two:
PuPdRh: relaxed, GGA-PBE.

Summary:
density of states at the Fermi level: 19.73 states/eV per cell

abc: 4.302 3.491 7.955
angles: 90.00 90.00 90.00
Sites, in units of the cell vectors:
Pu 0.250 0.000 0.233
Pu 0.750 0.000 0.767
Pd 0.250 0.500 0.589
Pd 0.750 0.500 0.411
Rh 0.250 0.500 0.914
Rh 0.750 0.500 0.086


Which is the most stable structure? model one is the most stable.


Model one:
Pu4Pd2Rh: relaxed, GGA-PBE.

Summary:
density of states at the Fermi level: 81.51 states/eV per cell

abc: 5.211 5.211 14.195
angles: 90.00 90.00 90.00
Sites, in units of the cell vectors:
Pu 0.000 0.000 0.197
Pu 0.000 0.000 0.803
Pu 0.000 0.500 0.000
Pu 0.000 0.500 0.500
Pu 0.500 0.000 0.000
Pu 0.500 0.000 0.500
Pu 0.500 0.500 0.303
Pu 0.500 0.500 0.697
Pd 0.000 0.000 0.390
Pd 0.000 0.000 0.610
Pd 0.500 0.500 0.110
Pd 0.500 0.500 0.890
Rh 0.000 0.000 0.000
Rh 0.500 0.500 0.500


Model two:
Pu4Pd2Rh: relaxed, GGA-PBE.

Summary:
density of states at the Fermi level: 67.24 states/eV per cell

abc: 7.491 7.491 7.491
angles: 110.03 110.03 108.36
Sites, in units of the cell vectors:
Pu 0.115 0.227 0.745
Pu 0.120 0.732 0.755
Pu 0.268 0.023 0.387
Pu 0.482 0.370 0.255
Pu 0.630 0.885 0.113
Pu 0.635 0.880 0.613
Pu 0.773 0.518 0.887
Pu 0.977 0.365 0.245
Pd 0.258 0.625 0.133
Pd 0.375 0.508 0.633
Pd 0.492 0.125 0.867
Pd 0.875 0.742 0.367
Rh 0.000 0.000 0.000
Rh 0.750 0.250 0.500


Which is the most stable structure? model two is the most stable.


Model one:
Pu2PdRh4: relaxed, GGA-PBE.

Summary:
density of states at the Fermi level: 32.72 states/eV per cell

abc: 5.252 9.158 5.614
angles: 90.00 111.34 90.00
Sites, in units of the cell vectors:
Pu 0.149 0.010 0.302
Pu 0.149 0.490 0.802
Pu 0.851 0.510 0.198
Pu 0.851 0.990 0.698
Pd 0.500 0.000 0.000
Pd 0.500 0.500 0.500
Rh 0.188 0.745 0.495
Rh 0.188 0.755 0.995
Rh 0.347 0.226 0.614
Rh 0.347 0.274 0.114
Rh 0.653 0.726 0.886
Rh 0.653 0.774 0.386
Rh 0.812 0.245 0.005
Rh 0.812 0.255 0.505


Model two:
Pu2PdRh4: relaxed, GGA-PBE.

Summary:
density of states at the Fermi level: 40.04 states/eV per cell

abc: 3.822 3.822 18.030
angles: 90.00 90.00 90.00
Sites, in units of the cell vectors:
Pu 0.000 0.000 0.103
Pu 0.000 0.000 0.897
Pu 0.500 0.500 0.397
Pu 0.500 0.500 0.603
Pd 0.000 0.000 0.500
Pd 0.500 0.500 0.000
Rh 0.000 0.000 0.354
Rh 0.000 0.000 0.646
Rh 0.000 0.500 0.250
Rh 0.000 0.500 0.750
Rh 0.500 0.000 0.250
Rh 0.500 0.000 0.750
Rh 0.500 0.500 0.146
Rh 0.500 0.500 0.854


Which is the most stable structure? model one is the most stable.


Model one:
TbPuPdRh: relaxed, GGA-PBE.

Summary:
density of states at the Fermi level: 45.05 states/eV per cell

abc: 6.956 6.956 6.956
angles: 90.00 90.00 90.00
Sites, in units of the cell vectors:
Tb 0.000 0.000 0.000
Tb 0.000 0.500 0.500
Tb 0.500 0.000 0.500
Tb 0.500 0.500 0.000
Pu 0.000 0.000 0.500
Pu 0.000 0.500 0.000
Pu 0.500 0.000 0.000
Pu 0.500 0.500 0.500
Pd 0.250 0.250 0.250
Pd 0.250 0.750 0.750
Pd 0.750 0.250 0.750
Pd 0.750 0.750 0.250
Rh 0.250 0.250 0.750
Rh 0.250 0.750 0.250
Rh 0.750 0.250 0.250
Rh 0.750 0.750 0.750


Model two:
TbPuPdRh: relaxed, GGA-PBE.

Summary:
density of states at the Fermi level: 22.37 states/eV per cell

abc: 4.134 3.831 11.103
angles: 90.00 90.00 90.00
Sites, in units of the cell vectors:
Tb 0.000 0.000 0.000
Tb 0.000 0.500 0.500
Pu 0.500 0.000 0.721
Pu 0.500 0.500 0.221
Pd 0.500 0.000 0.441
Pd 0.500 0.500 0.941
Rh 0.000 0.000 0.260
Rh 0.000 0.500 0.760


Which is the most stable structure? model two is the most stable.